No. 1
Material: Cr2InPt9
Method: DFT, PBE-GGA
State: relaxed

Output
The calculation puts the calculated total energy at -80.02 eV/cell.

```
12
Lattice="3.955 0.000 0.000 0.000 3.955 0.000 0.000 0.000 11.915" Properties=species:S:1:pos:R:3 pbc="T T T"
Cr 0.000 0.000 1.933
Cr 0.000 0.000 9.982
In 0.000 0.000 5.957
Pt 0.000 1.978 0.000
Pt 0.000 1.978 3.848
Pt 0.000 1.978 8.067
Pt 1.978 0.000 0.000
Pt 1.978 0.000 3.848
Pt 1.978 0.000 8.067
Pt 1.978 1.978 1.936
Pt 1.978 1.978 5.957
Pt 1.978 1.978 9.979
```

=====

No. 2
Material: CrInPt2
Method: DFT, PBE-GGA
State: relaxed

Output
The calculation puts the calculated total energy at -24.60 eV/cell.

```
4
Lattice="2.889 0.000 0.000 0.000 2.889 0.000 0.000 0.000 7.659" Properties=species:S:1:pos:R:3 pbc="T T T"
Cr 0.000 0.000 0.000
In 1.445 1.445 2.019
Pt 0.000 0.000 4.028
Pt 1.445 1.445 6.098
```

=====

No. 3
Material: CrIn2Pt2
Method: DFT, PBE-GGA
State: relaxed

Output
For the energy above the most stable polymorph in this dataset, the calculation gives 0 meV per atom. The calculation puts the calculated total energy at -56.25 eV/cell.

```
10
Lattice="7.128 0.000 0.000 0.000 7.128 0.000 0.000 0.000 3.738" Properties=species:S:1:pos:R:3 pbc="T T T"
Cr 0.000 0.000 0.000
Cr 3.564 3.564 0.000
In 1.169 2.395 1.869
In 2.395 5.959 1.869
In 4.733 1.169 1.869
In 5.959 4.733 1.869
Pt 0.991 4.555 0.000
Pt 2.573 0.991 0.000
Pt 4.555 6.137 0.000
Pt 6.137 2.573 0.000
```

=====

No. 4
Material: CrInPt2
Method: DFT, PBE-GGA
State: relaxed

Output
The calculation puts the calculated total energy at -50.48 eV/cell.

```
8
Lattice="9.514 0.000 0.000 0.000 3.030 0.000 -1.003 0.000 4.624" Properties=species:S:1:pos:R:3 pbc="T T T"
Cr 0.000 0.000 0.000
Cr 4.757 1.515 0.000
In 2.117 1.515 1.478
In 6.874 0.000 1.478
Pt -0.481 1.515 2.405
Pt 1.659 0.000 3.829
Pt 4.276 0.000 2.405
Pt 6.415 1.515 3.829
```